The following is a PBE calculation of a relaxed LaRh3C crystal, from Alexandria via LeMat-Bulk.

Lattice parameters (Å, degrees): 4.2645 4.2645 4.2645 90.00 90.00 90.00
Last column: nearest neighbours and their distance in Å.
Atoms (fractional coordinates):
La1 0.0000 0.0000 0.0000  12 Rh 3.02
C1 0.5000 0.5000 0.5000  6 Rh 2.13
Rh1 0.5000 0.5000 0.0000  2 C 2.13
Rh2 0.0000 0.5000 0.5000  2 C 2.13
Rh3 0.5000 0.0000 0.5000  2 C 2.13

Output
density of states at the Fermi level = 0.92 states/eV per cell
energy relative to the elements = -1.9 eV per formula unit